[1]
Computed, not measured: an optimized crystal structure of Ni3PO at the GGA+U level of DFT.

a = 4.065 Å, b = 4.065 Å, c = 4.065 Å
α = 90.00°, β = 90.00°, γ = 90.00°
Space group Pm-3m (No. 221)
Symmetry-distinct sites (fractional):
Ni: 0.000 0.000 0.500 x3
P: 0.000 0.000 0.000 x1
O: 0.500 0.500 0.500 x1

Results
**Distance to the lowest polymorph of the same formula**: 1093 meV/atom

[2]
Computed, not measured: an optimized crystal structure of Ni3P4PbO14 at the GGA+U level of DFT.

a = 7.529 Å, b = 7.790 Å, c = 9.562 Å
α = 90.00°, β = 112.26°, γ = 90.00°
Space group P2_1/c (No. 14)
Symmetry-distinct sites (fractional):
Ni: 0.000 0.000 0.000 x2
Ni: 0.184 0.126 0.525 x4
P: 0.110 0.703 0.806 x4
P: 0.395 0.057 0.299 x4
Pb: 0.500 0.000 0.000 x2
O: 0.001 0.709 0.634 x4
O: 0.026 0.575 0.887 x4
O: 0.151 0.625 0.387 x4
O: 0.267 0.117 0.136 x4
O: 0.317 0.629 0.822 x4
O: 0.373 0.177 0.418 x4
O: 0.401 0.520 0.191 x4

Results
**Energy**: -288.81 eV/cell

[3]
Computed, not measured: an optimized crystal structure of NiP2PdO at the GGA+U level of DFT.

a = 4.541 Å, b = 4.541 Å, c = 3.421 Å
α = 90.00°, β = 90.00°, γ = 90.00°
Space group P4/mmm (No. 123)
Symmetry-distinct sites (fractional):
Ni: 0.000 0.000 0.000 x1
P: 0.000 0.500 0.000 x2
Pd: 0.500 0.500 0.500 x1
O: 0.000 0.000 0.500 x1

Results
**Distance to the lowest polymorph of the same formula**: 0 meV/atom

[4]
Computed, not measured: an optimized crystal structure of NiP2PdO at the GGA+U level of DFT.

a = 4.787 Å, b = 4.787 Å, c = 3.773 Å
α = 90.00°, β = 90.00°, γ = 90.00°
Space group P4/mmm (No. 123)
Symmetry-distinct sites (fractional):
Ni: 0.000 0.000 0.000 x1
P: 0.000 0.500 0.500 x2
Pd: 0.500 0.500 0.500 x1
O: 0.500 0.500 0.000 x1

Results
**Distance to the lowest polymorph of the same formula**: 400 meV/atom

[5]
Computed, not measured: an optimized crystal structure of PmNiP2O8 at the GGA+U level of DFT.

a = 6.980 Å, b = 6.980 Å, c = 5.965 Å
α = 90.00°, β = 90.00°, γ = 90.00°
Space group I-4m2 (No. 119)
Symmetry-distinct sites (fractional):
Pm: 0.000 0.000 0.000 x2
Ni: 0.000 0.500 0.250 x2
P: 0.000 0.000 0.500 x2
P: 0.000 0.500 0.750 x2
O: 0.000 0.178 0.342 x8
O: 0.000 0.332 0.919 x8

Results
**Energy**: -165.76 eV/cell

[6]
Computed, not measured: an optimized crystal structure of Ni2PPtO6 at the GGA+U level of DFT.

a = 5.470 Å, b = 5.470 Å, c = 4.135 Å
α = 90.00°, β = 90.00°, γ = 90.00°
Space group P4mm (No. 99)
Symmetry-distinct sites (fractional):
Ni: 0.000 0.500 0.000 x2
P: 0.000 0.000 0.749 x1
Pt: 0.500 0.500 0.747 x1
O: 0.000 0.000 0.388 x1
O: 0.214 0.214 0.876 x4
O: 0.500 0.500 0.259 x1

Results
**Energy**: -53.11 eV/cell

Number 1: DOS(E_F) 2.4 states/eV/f.u.. Number 2: DOS(E_F) 0.0 states/eV/f.u.. Number 3: DOS(E_F) 3.5 states/eV/f.u.. Number 4: DOS(E_F) 3.1 states/eV/f.u.. Number 5: DOS(E_F) 3.3 states/eV/f.u.. Number 6: DOS(E_F) 3.7 states/eV/f.u..